BeCd2I | SCAN | PBEsol geometry

The calculation puts the raw total energy at -25.1256 eV/atom. As for the excess energy over the best structure of this formula in the dataset: 0.0 kJ per mole of atoms. The calculation puts the total magnetic moment at 0.0 μB/cell.

```
data_BeCd2I
_symmetry_space_group_name_H-M 'P 1'
_symmetry_Int_Tables_number 1
_cell_length_a 6.300
_cell_length_b 6.300
_cell_length_c 6.300
_cell_angle_alpha 104.36
_cell_angle_beta 104.36
_cell_angle_gamma 120.27
loop_
_symmetry_equiv_pos_as_xyz
'x,y,z'
loop_
_atom_site_label
_atom_site_fract_x
_atom_site_fract_y
_atom_site_fract_z
_atom_site_occupancy
Be1 0.000 0.000 0.000 1
Be2 0.750 0.250 0.500 1
Cd1 0.058 0.625 0.933 1
Cd2 0.375 0.308 0.433 1
Cd3 0.692 0.125 0.067 1
Cd4 0.875 0.942 0.567 1
I1 0.250 0.750 0.500 1
I2 0.500 0.500 0.000 1
```